Entry 1:
This record from Alexandria via LeMat-Bulk describes Li5Zn2Sn4 after structural relaxation. The functional is PBE-GGA.

Summary:
- Energy above the most stable polymorph in this dataset: 0.77 eV/f.u.
- Crystal system: monoclinic
- Total magnetization: 0.000 μB per cell
- Total DFT energy (no corrections): -2.759 eV per atom

abc: 3.119 8.117 8.868
angles: 90.46 90.00 90.00
Sites, in units of the cell vectors:
Sn 0.500 0.266 0.371
Sn 0.500 0.734 0.629
Sn 0.500 0.774 0.137
Sn 0.500 0.226 0.863
Li 0.000 0.104 0.125
Li 0.000 0.424 0.641
Li 0.000 0.500 0.000
Li 0.000 0.896 0.875
Li 0.000 0.576 0.359
Zn 0.000 0.915 0.382
Zn 0.000 0.085 0.618


Entry 2:
This record from Alexandria via LeMat-Bulk describes Li2ZnSn2 after structural relaxation. The functional is PBE-GGA.

Summary:
- Crystal system: tetragonal
- Total magnetization: 0.000 μB per cell
- Total DFT energy (no corrections): -2.752 eV per atom

abc: 6.789 6.789 4.264
angles: 90.00 90.00 90.00
Sites, in units of the cell vectors:
Sn 0.831 0.331 0.500
Sn 0.669 0.831 0.500
Sn 0.331 0.169 0.500
Sn 0.169 0.669 0.500
Li 0.361 0.861 0.000
Li 0.139 0.361 0.000
Li 0.861 0.639 0.000
Li 0.639 0.139 0.000
Zn 0.000 0.000 0.000
Zn 0.500 0.500 0.000


Entry 3:
This record from Alexandria via LeMat-Bulk describes Li5Zn2Sn2 after structural relaxation. The functional is PBE-GGA.

Summary:
- Crystal system: orthorhombic
- Total magnetization: 0.000 μB per cell
- Total DFT energy (no corrections): -2.388 eV per atom

abc: 6.965 7.112 7.704
angles: 117.49 90.00 90.00
Sites, in units of the cell vectors:
Sn 0.000 0.228 0.456
Sn 0.000 0.772 0.544
Sn 0.500 0.272 0.544
Sn 0.500 0.728 0.456
Li 0.694 0.317 0.254
Li 0.806 0.563 0.746
Li 0.694 0.063 0.746
Li 0.500 0.500 0.000
Li 0.806 0.817 0.254
Li 0.194 0.437 0.254
Li 0.306 0.683 0.746
Li 0.306 0.937 0.254
Li 0.000 0.000 0.000
Li 0.194 0.183 0.746
Zn 0.619 0.875 0.000
Zn 0.881 0.375 0.000
Zn 0.119 0.625 0.000
Zn 0.381 0.125 0.000


Entry 4:
This record from Alexandria via LeMat-Bulk describes Li5Zn2Sn4 after structural relaxation. The functional is PBE-GGA.

Summary:
- Energy above the most stable polymorph in this dataset: 0.00 eV/f.u.
- Crystal system: orthorhombic
- Total magnetization: 0.000 μB per cell
- Total DFT energy (no corrections): -2.830 eV per atom

abc: 3.298 7.413 17.220
angles: 90.00 90.00 90.00
Sites, in units of the cell vectors:
Li 0.000 0.762 0.212
Li 0.000 0.000 0.000
Li 0.000 0.857 0.427
Li 0.000 0.643 0.927
Li 0.000 0.357 0.073
Li 0.000 0.738 0.712
Li 0.000 0.262 0.288
Li 0.000 0.500 0.500
Li 0.000 0.143 0.573
Li 0.000 0.238 0.788
Zn 0.500 0.961 0.308
Zn 0.500 0.039 0.692
Zn 0.500 0.461 0.192
Zn 0.500 0.539 0.808
Sn 0.500 0.805 0.566
Sn 0.500 0.418 0.655
Sn 0.500 0.918 0.845
Sn 0.500 0.305 0.934
Sn 0.500 0.582 0.345
Sn 0.500 0.082 0.155
Sn 0.500 0.195 0.434
Sn 0.500 0.695 0.066


Entry 5:
This record from Alexandria via LeMat-Bulk describes LiZn2Sn after structural relaxation. The functional is PBE-GGA.

Summary:
- Crystal system: trigonal
- Total magnetization: 0.000 μB per cell
- Total DFT energy (no corrections): -2.066 eV per atom

abc: 3.175 3.175 9.252
angles: 80.12 80.12 60.00
Sites, in units of the cell vectors:
Zn 0.257 0.257 0.229
Zn 0.076 0.076 0.771
Li 0.666 0.666 0.001
Sn 0.500 0.500 0.499


Entry 6:
This record from Alexandria via LeMat-Bulk describes Li4ZnSn5 after structural relaxation. The functional is PBE-GGA.

Summary:
- Crystal system: tetragonal
- Total magnetization: 0.000 μB per cell
- Total DFT energy (no corrections): -3.109 eV per atom

abc: 3.535 3.535 16.791
angles: 90.00 90.00 90.00
Sites, in units of the cell vectors:
Sn 0.500 0.500 0.098
Sn 0.500 0.500 0.302
Sn 0.500 0.500 0.902
Sn 0.500 0.500 0.500
Sn 0.500 0.500 0.698
Li 0.000 0.000 0.403
Li 0.000 0.000 0.202
Li 0.000 0.000 0.597
Li 0.000 0.000 0.798
Zn 0.000 0.000 0.000


Entry 7:
This record from Alexandria via LeMat-Bulk describes Li3ZnSn after structural relaxation. The functional is PBE-GGA.

Summary:
- Energy above the most stable polymorph in this dataset: 0.01 eV/f.u.
- Crystal system: monoclinic
- Total magnetization: 0.000 μB per cell
- Total DFT energy (no corrections): -2.453 eV per atom

abc: 5.103 5.069 7.194
angles: 90.00 104.65 90.00
Sites, in units of the cell vectors:
Li 0.516 0.250 0.132
Li 0.326 0.750 0.449
Li 0.484 0.750 0.868
Li 0.674 0.250 0.551
Li 0.000 0.000 0.000
Li 0.000 0.500 0.000
Sn 0.747 0.750 0.264
Sn 0.253 0.250 0.736
Zn 0.079 0.250 0.340
Zn 0.921 0.750 0.660


Entry 8:
This record from Alexandria via LeMat-Bulk describes LiZn2Sn2 after structural relaxation. The functional is PBE-GGA.

Summary:
- Energy above the most stable polymorph in this dataset: 0.11 eV/f.u.
- Crystal system: tetragonal
- Total magnetization: 0.000 μB per cell
- Total DFT energy (no corrections): -2.506 eV per atom

abc: 4.392 4.392 6.799
angles: 71.16 71.16 90.00
Sites, in units of the cell vectors:
Li 0.000 0.000 0.000
Sn 0.384 0.384 0.232
Sn 0.616 0.616 0.768
Zn 0.250 0.750 0.500
Zn 0.750 0.250 0.500


Entry 9:
This record from Alexandria via LeMat-Bulk describes LiZn3Sn after structural relaxation. The functional is PBE-GGA.

Summary:
- Energy above the most stable polymorph in this dataset: 0.00 eV/f.u.
- Crystal system: cubic
- Total magnetization: 0.000 μB per cell
- Total DFT energy (no corrections): -1.620 eV per atom

abc: 4.618 4.618 4.618
angles: 90.00 90.00 90.00
Sites, in units of the cell vectors:
Sn 0.500 0.500 0.500
Li 0.000 0.000 0.000
Zn 0.000 0.000 0.500
Zn 0.500 0.000 0.000
Zn 0.000 0.500 0.000


Entry 10:
This record from Alexandria via LeMat-Bulk describes Li3ZnSn after structural relaxation. The functional is PBE-GGA.

Summary:
- Energy above the most stable polymorph in this dataset: 1.56 eV/f.u.
- Crystal system: cubic
- Total magnetization: 0.000 μB per cell
- Total DFT energy (no corrections): -2.143 eV per atom

abc: 4.708 4.708 4.708
angles: 90.00 90.00 90.00
Sites, in units of the cell vectors:
Sn 0.500 0.500 0.500
Li 0.000 0.000 0.500
Li 0.500 0.000 0.000
Li 0.000 0.500 0.000
Zn 0.000 0.000 0.000


Entry 11:
This record from Alexandria via LeMat-Bulk describes LiZn2Sn2 after structural relaxation. The functional is PBE-GGA.

Summary:
- Energy above the most stable polymorph in this dataset: 0.00 eV/f.u.
- Crystal system: tetragonal
- Total magnetization: 0.000 μB per cell
- Total DFT energy (no corrections): -2.528 eV per atom

abc: 7.251 7.251 3.998
angles: 90.00 90.00 90.00
Sites, in units of the cell vectors:
Zn 0.376 0.876 0.000
Zn 0.876 0.624 0.000
Zn 0.124 0.376 0.000
Zn 0.624 0.124 0.000
Li 0.500 0.500 0.000
Li 0.000 0.000 0.000
Sn 0.319 0.181 0.500
Sn 0.181 0.681 0.500
Sn 0.819 0.319 0.500
Sn 0.681 0.819 0.500


Entry 12:
This record from Alexandria via LeMat-Bulk describes Li2ZnSn2 after structural relaxation. The functional is PBE-GGA.

Summary:
- Crystal system: monoclinic
- Total magnetization: 0.000 μB per cell
- Total DFT energy (no corrections): -2.715 eV per atom

abc: 3.526 5.561 8.555
angles: 121.02 78.11 71.52
Sites, in units of the cell vectors:
Li 0.505 0.337 0.654
Li 0.495 0.663 0.346
Sn 0.730 0.846 0.695
Sn 0.270 0.154 0.305
Zn 0.000 0.000 0.000


Entry 13:
This record from Alexandria via LeMat-Bulk describes LiZn2Sn after structural relaxation. The functional is PBE-GGA.

Summary:
- Crystal system: orthorhombic
- Total magnetization: 0.000 μB per cell
- Total DFT energy (no corrections): -2.220 eV per atom

abc: 4.345 5.652 6.977
angles: 90.00 90.00 112.60
Sites, in units of the cell vectors:
Sn 0.780 0.560 0.750
Sn 0.220 0.440 0.250
Li 0.069 0.137 0.750
Li 0.931 0.863 0.250
Zn 0.388 0.775 0.942
Zn 0.612 0.225 0.058
Zn 0.388 0.775 0.558
Zn 0.612 0.225 0.442


Entry 14:
This record from Alexandria via LeMat-Bulk describes LiZn2Sn after structural relaxation. The functional is PBE-GGA.

Summary:
- Crystal system: tetragonal
- Total magnetization: 0.000 μB per cell
- Total DFT energy (no corrections): -2.174 eV per atom

abc: 3.475 3.475 6.124
angles: 90.00 90.00 90.00
Sites, in units of the cell vectors:
Zn 0.000 0.000 0.214
Zn 0.000 0.000 0.786
Li 0.500 0.500 0.000
Sn 0.500 0.500 0.500


Entry 15:
This record from Alexandria via LeMat-Bulk describes Li3Zn2Sn2 after structural relaxation. The functional is PBE-GGA.

Summary:
- Crystal system: monoclinic
- Total magnetization: 0.000 μB per cell
- Total DFT energy (no corrections): -2.573 eV per atom

abc: 4.600 4.600 7.358
angles: 100.93 97.83 118.61
Sites, in units of the cell vectors:
Li 0.000 0.000 0.000
Li 0.286 0.144 0.430
Li 0.714 0.856 0.570
Zn 0.537 0.308 0.844
Zn 0.463 0.692 0.156
Sn 0.855 0.415 0.269
Sn 0.145 0.585 0.731


Entry 16:
This record from Alexandria via LeMat-Bulk describes Li6Zn5Sn after structural relaxation. The functional is PBE-GGA.

Summary:
- Crystal system: monoclinic
- Total magnetization: 0.000 μB per cell
- Total DFT energy (no corrections): -2.008 eV per atom

abc: 3.845 7.570 7.570
angles: 104.82 104.70 104.70
Sites, in units of the cell vectors:
Zn 0.500 0.180 0.820
Zn 0.000 0.663 0.337
Zn 0.000 0.337 0.663
Zn 0.500 0.820 0.180
Zn 0.500 0.500 0.500
Li 0.752 0.920 0.585
Li 0.755 0.253 0.253
Li 0.248 0.080 0.415
Li 0.245 0.747 0.747
Li 0.248 0.415 0.080
Li 0.752 0.585 0.920
Sn 0.000 0.000 0.000


Entry 17:
This record from Alexandria via LeMat-Bulk describes LiZn2Sn2 after structural relaxation. The functional is PBE-GGA.

Summary:
- Energy above the most stable polymorph in this dataset: 0.18 eV/f.u.
- Crystal system: tetragonal
- Total magnetization: 0.000 μB per cell
- Total DFT energy (no corrections): -2.492 eV per atom

abc: 4.383 4.383 6.863
angles: 71.38 71.38 90.00
Sites, in units of the cell vectors:
Zn 0.402 0.402 0.195
Zn 0.598 0.598 0.805
Li 0.000 0.000 0.000
Sn 0.750 0.250 0.500
Sn 0.250 0.750 0.500


Entry 18:
This record from Alexandria via LeMat-Bulk describes Li3ZnSn3 after structural relaxation. The functional is PBE-GGA.

Summary:
- Energy above the most stable polymorph in this dataset: 0.00 eV/f.u.
- Crystal system: monoclinic
- Total magnetization: 0.000 μB per cell
- Total DFT energy (no corrections): -2.912 eV per atom

abc: 6.755 6.755 6.693
angles: 90.04 90.04 88.13
Sites, in units of the cell vectors:
Sn 0.001 0.001 0.227
Sn 0.999 0.501 0.754
Sn 0.001 0.499 0.246
Sn 0.999 0.999 0.773
Sn 0.499 0.001 0.246
Sn 0.501 0.999 0.754
Li 0.261 0.261 0.502
Li 0.251 0.749 0.500
Li 0.698 0.302 0.000
Li 0.749 0.251 0.500
Li 0.739 0.739 0.498
Li 0.302 0.698 0.000
Zn 0.276 0.276 0.998
Zn 0.724 0.724 0.002


Entry 19:
This record from Alexandria via LeMat-Bulk describes LiZnSn3 after structural relaxation. The functional is PBE-GGA.

Summary:
- Energy above the most stable polymorph in this dataset: 0.00 eV/f.u.
- Crystal system: cubic
- Total magnetization: 0.000 μB per cell
- Total DFT energy (no corrections): -2.769 eV per atom

abc: 5.293 5.293 5.293
angles: 90.00 90.00 90.00
Sites, in units of the cell vectors:
Sn 0.500 0.000 0.000
Sn 0.000 0.000 0.500
Sn 0.000 0.500 0.000
Li 0.500 0.500 0.500
Zn 0.000 0.000 0.000


Entry 20:
This record from Alexandria via LeMat-Bulk describes Li2ZrSn2 after structural relaxation. The functional is PBE-GGA.

Summary:
- Energy above the most stable polymorph in this dataset: 0.16 eV/f.u.
- Crystal system: tetragonal
- Total magnetization: 0.000 μB per cell
- Total DFT energy (no corrections): -4.362 eV per atom

abc: 3.985 3.985 7.046
angles: 73.57 73.57 90.00
Sites, in units of the cell vectors:
Sn 0.392 0.392 0.215
Sn 0.608 0.608 0.785
Li 0.250 0.750 0.500
Li 0.750 0.250 0.500
Zr 0.000 0.000 0.000